Entry 1
Below is crystalline LaCo3H at its relaxed geometry, with properties calculated at the PBE-GGA level.

Cell lengths 4.6617, 4.6617, 4.6617 Å; angles 90.00, 90.00, 90.00 degrees
Last column: nearest neighbours and their distance in Å.
Fractional coordinates of all 5 atoms:
H  0.5000  0.5000  0.5000  12 Co 3.30
Co  0.0000  0.5000  0.0000  2 La 2.33
Co  0.0000  0.0000  0.5000  2 La 2.33
Co  0.5000  0.0000  0.0000  2 La 2.33
La  0.0000  0.0000  0.0000  6 Co 2.33

Results
The calculation puts the density at 5191 kg/m³. The calculation puts the density of states at the Fermi level at 2.007 states/eV/atom. As for the spin magnetization: 2.82 μB/cell.

---

Entry 2
Below is crystalline LaCo3H at its relaxed geometry, with properties calculated at the PBE-GGA level.

Cell lengths 3.9519, 3.9519, 3.9519 Å; angles 90.00, 90.00, 90.00 degrees
Last column: nearest neighbours and their distance in Å.
Fractional coordinates of all 5 atoms:
H  0.0000  0.0000  0.0000  6 Co 1.98
Co  0.0000  0.5000  0.0000  2 H 1.98
Co  0.0000  0.0000  0.5000  2 H 1.98
Co  0.5000  0.0000  0.0000  2 H 1.98
La  0.5000  0.5000  0.5000  12 Co 2.79

Results
The calculation puts the density at 8521 kg/m³. The calculation puts the density of states at the Fermi level at 1.016 states/eV/atom. As for the spin magnetization: 2.31 μB/cell.

---

entry 2 (186.1 kJ/mol of atoms below the next structure)

---

Entry 1
Below is crystalline LiCoH2 at its relaxed geometry, with properties calculated at the PBE-GGA level.

Cell lengths 4.5224, 4.5224, 4.2784 Å; angles 58.09, 58.09, 90.00 degrees
Last column: nearest neighbours and their distance in Å.
Fractional coordinates of all 8 atoms:
H  0.6670  0.1250  0.2500  2 Co 1.63
H  0.0830  0.6250  0.2500  2 Co 1.63
H  0.3750  0.3330  0.7500  2 Co 1.63
H  0.8750  0.9170  0.7500  2 Co 1.63
Co  0.0000  0.0000  0.0000  4 H 1.63
Co  0.7500  0.2500  0.5000  4 H 1.63
Li  0.5000  0.5000  0.0000  4 H 1.88
Li  0.2500  0.7500  0.5000  4 H 1.88

Results
The calculation puts the density at 3879 kg/m³. The calculation puts the density of states at the Fermi level at 0.769 states/eV/atom. As for the spin magnetization: 2.36 μB/cell.

---

Entry 2
Below is crystalline LiCoH2 at its relaxed geometry, with properties calculated at the PBE-GGA level.

Cell lengths 2.6694, 2.6694, 4.6147 Å; angles 73.19, 73.19, 60.00 degrees
Last column: nearest neighbours and their distance in Å.
Fractional coordinates of all 4 atoms:
H  0.2705  0.2705  0.1885  3 Co 1.75
H  0.7295  0.7295  0.8115  3 Co 1.75
Co  0.0000  0.0000  0.0000  6 H 1.75
Li  0.5000  0.5000  0.5000  6 H 2.05

Results
The calculation puts the density at 4200 kg/m³. The calculation puts the density of states at the Fermi level at 0.503 states/eV/atom. As for the spin magnetization: 0.47 μB/cell.

---

entry 2 (8.5 kJ/mol of atoms below the next structure)